# Li2AcZn9

An optimized crystal structure of Li2AcZn9 (PBE, Alexandria via LeMat-Bulk).

The structure in POSCAR format:
```
Li2AcZn9
1.0
5.1990 0.0000 1.5473
2.3692 4.6278 1.5473
0.1511 0.0924 9.0004
Li Zn Ac
2 9 1
Direct
0.8554 0.8554 0.4338 Li
0.1446 0.1446 0.5662 Li
0.9207 0.4080 0.2634 Zn
0.4080 0.9207 0.2634 Zn
0.0793 0.5920 0.7366 Zn
0.3350 0.3350 0.9951 Zn
0.6650 0.6650 0.0049 Zn
0.5920 0.5920 0.7366 Zn
0.5920 0.0793 0.7366 Zn
0.5000 0.5000 0.5000 Zn
0.4080 0.4080 0.2634 Zn
0.0000 0.0000 0.0000 Ac
```

Values from the calculation:
Its formation energy is -0.1828 eV per atom. As for the density of states at the Fermi level: 5.0 states/eV per cell. As for the energy above the lowest structure with this stoichiometry: 0 meV per atom. Its space-group type is No. 166. For the density, the calculation gives 6.41 Mg/m³.